# 1
{
  "formula": "SrOsC3",
  "functional": "SCAN",
  "state": "PBEsol geometry",
  "lattice": [[4.024, 0.000, 0.000], [0.000, 4.024, 0.000], [0.000, 0.000, 4.024]],
  "species": ["Os", "C", "C", "C", "Sr"],
  "frac_coords": [[0.000, 0.000, 0.000], [0.000, 0.000, 0.500], [0.500, 0.000, 0.000], [0.000, 0.500, 0.000], [0.500, 0.500, 0.500]],
  "rho_g_cm3": 8.0,
  "sg": "Pm-3m (221)",
  "relative_energy_mev_per_atom": 0,
  "magnetic_moment_mub_per_cell": 0.00
}

# 2
{
  "formula": "V2NiSe4",
  "functional": "SCAN",
  "state": "PBEsol geometry",
  "lattice": [[3.397, 0.005, -0.032], [1.692, 2.945, -0.032], [0.121, 0.070, 11.777]],
  "species": ["Se", "Se", "Se", "Se", "V", "V", "Ni"],
  "frac_coords": [[0.333, 0.333, 0.379], [0.666, 0.666, 0.120], [0.334, 0.334, 0.880], [0.667, 0.667, 0.621], [0.000, 0.000, 0.751], [0.000, 0.000, 0.249], [0.000, 0.000, 0.000]],
  "rho_g_cm3": 6.7,
  "sg": "C2/m (12)",
  "relative_energy_mev_per_atom": 26,
  "magnetic_moment_mub_per_cell": 2.03
}

# 3
{
  "formula": "CaAgPb3",
  "functional": "SCAN",
  "state": "PBEsol geometry",
  "lattice": [[-0.152, -5.606, -1.138], [2.297, -1.103, 5.124], [-5.239, -0.321, 2.280]],
  "species": ["Ag", "Pb", "Pb", "Pb", "Ca"],
  "frac_coords": [[0.500, 0.500, 0.500], [0.000, 0.500, 0.000], [0.500, 0.000, 0.000], [0.000, 0.000, 0.500], [0.000, 0.000, 0.000]],
  "rho_g_cm3": 6.8,
  "total_energy_ev_per_atom": -52.93,
  "sg": "Pm-3m (221)",
  "magnetic_moment_mub_per_cell": 0.00
}

# 4
{
  "formula": "TaMnOs3",
  "functional": "SCAN",
  "state": "PBEsol geometry",
  "lattice": [[-0.890, 2.018, -4.133], [2.842, -3.069, -2.110], [-3.616, -2.908, -0.641]],
  "species": ["Mn", "Ta", "Os", "Os", "Os"],
  "frac_coords": [[0.500, 0.500, 0.500], [0.000, 0.000, 0.000], [0.000, 0.500, 0.000], [0.000, 0.000, 0.500], [0.500, 0.000, 0.000]],
  "rho_g_cm3": 13.0,
  "total_energy_ev_per_atom": -58.07,
  "sg": "Pm-3m (221)",
  "magnetic_moment_mub_per_cell": 3.85
}

# 5
{
  "formula": "RbNa2GaCo",
  "functional": "SCAN",
  "state": "PBEsol geometry",
  "lattice": [[-3.640, -1.610, -2.310], [3.355, -1.886, -3.972], [0.443, -4.826, 2.665]],
  "species": ["Ga", "Co", "Na", "Na", "Rb"],
  "frac_coords": [[0.500, 0.000, 0.000], [0.000, 0.000, 0.000], [0.000, 0.000, 0.500], [0.000, 0.500, 0.000], [0.500, 0.500, 0.500]],
  "rho_g_cm3": 3.1,
  "total_energy_ev_per_atom": -12.29,
  "sg": "P4/mmm (123)",
  "magnetic_moment_mub_per_cell": 1.35
}

# 6
{
  "formula": "YTa2Cd",
  "functional": "SCAN",
  "state": "PBEsol geometry",
  "lattice": [[-3.728, 1.486, 1.111], [-0.943, -3.665, 1.738], [4.138, 2.560, 2.656]],
  "species": ["Y", "Cd", "Ta", "Ta"],
  "frac_coords": [[0.500, 0.500, 0.000], [0.000, 0.000, 0.000], [0.750, 0.250, 0.500], [0.250, 0.750, 0.500]],
  "rho_g_cm3": 11.5,
  "total_energy_ev_per_atom": -47.52,
  "sg": "I4/mmm (139)",
  "magnetic_moment_mub_per_cell": 0.00
}

# 7
{
  "formula": "Nd3SmGa4O12",
  "functional": "SCAN",
  "state": "PBEsol geometry",
  "lattice": [[5.391, 0.000, 0.000], [-0.007, 5.536, 0.000], [0.000, 0.000, 7.686]],
  "species": ["O", "O", "O", "O", "O", "O", "O", "O", "O", "O", "O", "O", "Nd", "Nd", "Nd", "Sm", "Ga", "Ga", "Ga", "Ga"],
  "frac_coords": [[0.791, 0.209, 0.797], [0.093, 0.521, 0.000], [0.791, 0.209, 0.203], [0.207, 0.793, 0.705], [0.915, 0.481, 0.500], [0.292, 0.293, 0.705], [0.706, 0.705, 0.201], [0.585, 0.979, 0.500], [0.706, 0.705, 0.799], [0.292, 0.293, 0.295], [0.415, 0.025, 0.000], [0.207, 0.793, 0.295], [0.487, 0.551, 0.500], [0.014, 0.053, 0.500], [0.987, 0.948, 0.000], [0.515, 0.444, 0.000], [0.500, 0.999, 0.751], [0.000, 0.500, 0.751], [0.000, 0.500, 0.249], [0.500, 0.999, 0.249]],
  "rho_g_cm3": 7.6,
  "total_energy_ev_per_atom": -18.72,
  "sg": "Pm (6)",
  "magnetic_moment_mub_per_cell": 0.00
}

# 8
{
  "formula": "BaAg3Bi",
  "functional": "SCAN",
  "state": "PBEsol geometry",
  "lattice": [[5.600, 0.000, 0.000], [0.000, 5.600, 0.000], [0.000, 0.000, 5.600]],
  "species": ["Bi", "Ag", "Ag", "Ag", "Ba"],
  "frac_coords": [[0.500, 0.500, 0.500], [0.500, 0.000, 0.000], [0.000, 0.000, 0.500], [0.000, 0.500, 0.000], [0.000, 0.000, 0.000]],
  "rho_g_cm3": 6.3,
  "total_energy_ev_per_atom": -41.32,
  "sg": "Pm-3m (221)",
  "magnetic_moment_mub_per_cell": 0.00
}

# 9
{
  "formula": "Ba5Y8Zn4O21",
  "functional": "SCAN",
  "state": "PBEsol geometry",
  "lattice": [[-4.131, -1.730, -3.489], [4.349, -1.634, -8.959], [-0.340, -10.057, 0.770]],
  "species": ["Zn", "Zn", "Zn", "Zn", "Y", "Y", "Y", "Y", "Y", "Y", "Y", "Y", "O", "O", "O", "O", "O", "O", "O", "O", "O", "O", "O", "O", "O", "O", "O", "O", "O", "O", "O", "O", "O", "Ba", "Ba", "Ba", "Ba", "Ba"],
  "frac_coords": [[0.749, 0.291, 0.210], [0.251, 0.709, 0.790], [0.041, 0.210, 0.709], [0.959, 0.790, 0.291], [0.247, 0.920, 0.585], [0.357, 0.231, 0.055], [0.753, 0.080, 0.415], [0.832, 0.415, 0.920], [0.168, 0.585, 0.080], [0.588, 0.055, 0.769], [0.412, 0.945, 0.231], [0.643, 0.769, 0.945], [0.494, 0.406, 0.111], [0.900, 0.111, 0.594], [0.703, 0.226, 0.870], [0.297, 0.774, 0.130], [0.372, 0.666, 0.590], [0.072, 0.130, 0.226], [0.038, 0.590, 0.334], [0.500, 0.000, 0.000], [0.395, 0.111, 0.594], [0.962, 0.410, 0.666], [0.427, 0.870, 0.774], [0.798, 0.774, 0.130], [0.202, 0.226, 0.870], [0.573, 0.130, 0.226], [0.605, 0.889, 0.406], [0.100, 0.889, 0.406], [0.506, 0.594, 0.889], [0.011, 0.594, 0.889], [0.928, 0.870, 0.774], [0.628, 0.334, 0.410], [0.989, 0.406, 0.111], [0.464, 0.396, 0.675], [0.000, 0.000, 0.000], [0.139, 0.325, 0.396], [0.861, 0.675, 0.604], [0.536, 0.604, 0.325]],
  "rho_g_cm3": 6.2,
  "total_energy_ev_per_atom": -19.11,
  "sg": "I4/m (87)",
  "magnetic_moment_mub_per_cell": 0.00
}

# 10
{
  "formula": "ZnTe2",
  "functional": "SCAN",
  "state": "PBEsol geometry",
  "lattice": [[-1.794, 3.368, 0.134], [-2.263, -1.316, 2.780], [3.557, 1.747, 3.724]],
  "species": ["Te", "Te", "Zn"],
  "frac_coords": [[0.000, 0.000, 0.500], [0.500, 0.500, 0.000], [0.000, 0.000, 0.000]],
  "rho_g_cm3": 6.7,
  "total_energy_ev_per_atom": -29.13,
  "sg": "P4/mmm (123)",
  "magnetic_moment_mub_per_cell": 0.00
}

# 11
{
  "formula": "Ba2IrW",
  "functional": "SCAN",
  "state": "PBEsol geometry",
  "lattice": [[-1.311, -0.852, 5.135], [-3.034, -2.650, -1.214], [2.728, -3.199, 0.166]],
  "species": ["Ba", "Ba", "Ir", "W"],
  "frac_coords": [[0.000, 0.500, 0.000], [0.000, 0.000, 0.500], [0.500, 0.500, 0.500], [0.500, 0.000, 0.000]],
  "rho_g_cm3": 11.4,
  "sg": "P4/mmm (123)",
  "relative_energy_mev_per_atom": 1319,
  "magnetic_moment_mub_per_cell": 0.00
}

# 12
{
  "formula": "LaC3F",
  "functional": "SCAN",
  "state": "PBEsol geometry",
  "lattice": [[-0.313, 0.220, 4.576], [-3.609, -2.838, -0.111], [2.822, -3.604, 0.366]],
  "species": ["C", "C", "C", "La", "F"],
  "frac_coords": [[0.000, 0.500, 0.000], [0.500, 0.000, 0.000], [0.000, 0.000, 0.500], [0.000, 0.000, 0.000], [0.500, 0.500, 0.500]],
  "rho_g_cm3": 3.3,
  "total_energy_ev_per_atom": -12.29,
  "sg": "Pm-3m (221)",
  "magnetic_moment_mub_per_cell": 0.00
}

# 13
{
  "formula": "Sm3Ho",
  "functional": "SCAN",
  "state": "PBEsol geometry",
  "lattice": [[4.979, 0.000, 0.000], [0.000, 4.979, 0.000], [-2.489, -2.489, 4.976]],
  "species": ["Ho", "Sm", "Sm", "Sm"],
  "frac_coords": [[0.000, 0.000, 0.000], [0.500, 0.500, 0.000], [0.250, 0.750, 0.500], [0.750, 0.250, 0.500]],
  "rho_g_cm3": 8.3,
  "sg": "I4/mmm (139)",
  "relative_energy_mev_per_atom": 0,
  "magnetic_moment_mub_per_cell": 0.00
}

# 14
{
  "formula": "BeNbGe3",
  "functional": "SCAN",
  "state": "PBEsol geometry",
  "lattice": [[4.956, 0.000, 0.000], [0.000, 4.956, 0.000], [0.000, 0.000, 4.956]],
  "species": ["Ge", "Ge", "Ge", "Nb", "Be"],
  "frac_coords": [[0.000, 0.500, 0.000], [0.500, 0.000, 0.000], [0.000, 0.000, 0.500], [0.000, 0.000, 0.000], [0.500, 0.500, 0.500]],
  "rho_g_cm3": 4.4,
  "total_energy_ev_per_atom": -17.98,
  "sg": "Pm-3m (221)",
  "magnetic_moment_mub_per_cell": 0.00
}

# 15
{
  "formula": "MgAgW2Br",
  "functional": "SCAN",
  "state": "PBEsol geometry",
  "lattice": [[-3.308, -3.107, 0.759], [1.221, -2.237, -3.831], [3.167, -2.735, 2.606]],
  "species": ["Mg", "Br", "W", "W", "Ag"],
  "frac_coords": [[0.500, 0.500, 0.500], [0.000, 0.000, 0.000], [0.000, 0.500, 0.000], [0.500, 0.000, 0.000], [0.000, 0.000, 0.500]],
  "rho_g_cm3": 9.2,
  "total_energy_ev_per_atom": -36.99,
  "sg": "P4/mmm (123)",
  "magnetic_moment_mub_per_cell": 1.60
}

# 16
{
  "formula": "LiAu3N",
  "functional": "SCAN",
  "state": "PBEsol geometry",
  "lattice": [[-4.161, 0.512, -1.023], [-0.858, -3.949, 1.515], [-0.756, 1.665, 3.910]],
  "species": ["Au", "Au", "Au", "N", "Li"],
  "frac_coords": [[0.000, 0.000, 0.500], [0.500, 0.000, 0.000], [0.000, 0.500, 0.000], [0.000, 0.000, 0.000], [0.500, 0.500, 0.500]],
  "rho_g_cm3": 12.6,
  "total_energy_ev_per_atom": -43.40,
  "sg": "Pm-3m (221)",
  "magnetic_moment_mub_per_cell": 0.00
}

# 17
{
  "formula": "Ba3Sb",
  "functional": "SCAN",
  "state": "PBEsol geometry",
  "lattice": [[-6.102, -4.347, 0.511], [5.345, -7.535, -0.266], [0.773, 0.171, 10.675]],
  "species": ["Ba", "Ba", "Ba", "Ba", "Ba", "Ba", "Ba", "Ba", "Ba", "Ba", "Ba", "Ba", "Sb", "Sb", "Sb", "Sb"],
  "frac_coords": [[0.375, 0.530, 0.750], [0.875, 0.970, 0.250], [0.848, 0.678, 0.556], [0.348, 0.822, 0.056], [0.125, 0.030, 0.750], [0.625, 0.470, 0.250], [0.652, 0.178, 0.556], [0.848, 0.678, 0.944], [0.652, 0.178, 0.944], [0.152, 0.322, 0.056], [0.152, 0.322, 0.444], [0.348, 0.822, 0.444], [0.062, 0.619, 0.250], [0.438, 0.119, 0.250], [0.938, 0.381, 0.750], [0.562, 0.881, 0.750]],
  "rho_g_cm3": 4.8,
  "total_energy_ev_per_atom": -39.67,
  "sg": "Pnma (62)",
  "magnetic_moment_mub_per_cell": 4.82
}

# 18
{
  "formula": "YMn2Os",
  "functional": "SCAN",
  "state": "PBEsol geometry",
  "lattice": [[2.987, 0.000, 0.000], [0.000, 4.470, 0.000], [-1.494, -2.235, 4.559]],
  "species": ["Os", "Y", "Mn", "Mn"],
  "frac_coords": [[0.472, 0.472, 0.945], [0.248, 0.748, 0.495], [0.755, 0.255, 0.509], [0.025, 0.025, 0.050]],
  "rho_g_cm3": 10.6,
  "sg": "Imm2 (44)",
  "relative_energy_mev_per_atom": 0,
  "magnetic_moment_mub_per_cell": 0.87
}

# 19
{
  "formula": "TcGe2AsPb",
  "functional": "SCAN",
  "state": "PBEsol geometry",
  "lattice": [[5.155, 0.000, 0.000], [0.000, 5.230, 0.000], [0.000, 0.000, 5.230]],
  "species": ["Pb", "Ge", "Ge", "As", "Tc"],
  "frac_coords": [[0.000, 0.000, 0.000], [0.000, 0.500, 0.000], [0.000, 0.000, 0.500], [0.500, 0.500, 0.500], [0.500, 0.000, 0.000]],
  "rho_g_cm3": 6.2,
  "total_energy_ev_per_atom": -32.14,
  "sg": "P4/mmm (123)",
  "magnetic_moment_mub_per_cell": 3.64
}

# 20
{
  "formula": "Mo3Cl",
  "functional": "SCAN",
  "state": "PBEsol geometry",
  "lattice": [[2.916, 0.000, 0.000], [0.000, 4.359, 0.000], [-1.458, -2.179, 4.869]],
  "species": ["Mo", "Mo", "Mo", "Cl"],
  "frac_coords": [[0.798, 0.497, 0.595], [0.500, 0.430, 0.000], [0.202, 0.902, 0.405], [0.000, 0.005, 0.000]],
  "rho_g_cm3": 8.7,
  "sg": "Imm2 (44)",
  "relative_energy_mev_per_atom": 308,
  "magnetic_moment_mub_per_cell": 0.00
}

# 21
{
  "formula": "HOsI2O",
  "functional": "SCAN",
  "state": "PBEsol geometry",
  "lattice": [[-1.760, -3.017, -1.182], [0.444, -2.212, 4.986], [-4.788, 2.238, 1.419]],
  "species": ["Os", "H", "I", "I", "O"],
  "frac_coords": [[0.000, 0.000, 0.000], [0.500, 0.500, 0.500], [0.000, 0.000, 0.500], [0.000, 0.500, 0.000], [0.500, 0.000, 0.000]],
  "rho_g_cm3": 6.9,
  "total_energy_ev_per_atom": -30.58,
  "sg": "P4/mmm (123)",
  "magnetic_moment_mub_per_cell": 0.69
}

# 22
{
  "formula": "Cr3P3O13",
  "functional": "SCAN",
  "state": "PBEsol geometry",
  "lattice": [[-1.346, -3.732, 4.722], [-4.391, -3.899, -4.333], [8.931, -5.005, -1.410]],
  "species": ["O", "O", "O", "O", "O", "O", "O", "O", "O", "O", "O", "O", "O", "O", "O", "O", "O", "O", "O", "O", "O", "O", "O", "O", "O", "O", "Cr", "Cr", "Cr", "Cr", "Cr", "Cr", "P", "P", "P", "P", "P", "P"],
  "frac_coords": [[0.750, 0.913, 0.882], [0.549, 0.271, 0.558], [0.750, 0.655, 0.267], [0.545, 0.809, 0.100], [0.250, 0.087, 0.118], [0.951, 0.271, 0.558], [0.750, 0.497, 0.049], [0.750, 0.002, 0.415], [0.451, 0.729, 0.442], [0.955, 0.809, 0.100], [0.750, 0.789, 0.636], [0.250, 0.998, 0.585], [0.750, 0.136, 0.088], [0.250, 0.211, 0.364], [0.045, 0.191, 0.900], [0.750, 0.320, 0.359], [0.052, 0.381, 0.202], [0.250, 0.864, 0.912], [0.455, 0.191, 0.900], [0.049, 0.729, 0.442], [0.250, 0.345, 0.733], [0.250, 0.503, 0.951], [0.250, 0.680, 0.641], [0.552, 0.619, 0.798], [0.948, 0.619, 0.798], [0.448, 0.381, 0.202], [0.000, 0.000, 0.000], [0.750, 0.365, 0.189], [0.500, 0.000, 0.000], [0.250, 0.635, 0.811], [0.250, 0.234, 0.551], [0.750, 0.766, 0.449], [0.250, 0.787, 0.527], [0.750, 0.731, 0.772], [0.750, 0.703, 0.125], [0.250, 0.269, 0.228], [0.750, 0.213, 0.473], [0.250, 0.297, 0.875]],
  "rho_g_cm3": 3.3,
  "total_energy_ev_per_atom": -11.15,
  "sg": "P2_1/m (11)",
  "magnetic_moment_mub_per_cell": 14.00
}

# 23
{
  "formula": "CaTl2Ag",
  "functional": "SCAN",
  "state": "PBEsol geometry",
  "lattice": [[3.822, 0.000, 0.000], [0.000, 3.822, 0.000], [0.000, 0.000, 6.784]],
  "species": ["Tl", "Tl", "Ca", "Ag"],
  "frac_coords": [[0.000, 0.000, 0.004], [0.500, 0.500, 0.269], [0.500, 0.500, 0.735], [0.000, 0.000, 0.492]],
  "rho_g_cm3": 9.3,
  "total_energy_ev_per_atom": -46.63,
  "sg": "P4mm (99)",
  "magnetic_moment_mub_per_cell": 0.00
}

# 24
{
  "formula": "RbNaCr3",
  "functional": "SCAN",
  "state": "PBEsol geometry",
  "lattice": [[5.957, 0.000, 0.000], [0.000, 5.957, 0.000], [0.000, 0.000, 5.957]],
  "species": ["Cr", "Cr", "Cr", "Na", "Rb"],
  "frac_coords": [[0.000, 0.000, 0.500], [0.500, 0.000, 0.000], [0.000, 0.500, 0.000], [0.500, 0.500, 0.500], [0.000, 0.000, 0.000]],
  "rho_g_cm3": 2.1,
  "total_energy_ev_per_atom": -14.30,
  "sg": "Pm-3m (221)",
  "magnetic_moment_mub_per_cell": 16.66
}